[1]
# GGA-PBE CaLa2PbF, optimized geometry
# E_tot in eV per formula unit: -18.86
# Formation energy (no corrections) in eV per atom: -0.2841
# Size of the total moment in μB per formula unit: 0.0
data_CaLa2PbF
_cell_length_a 6.4505
_cell_length_b 6.4505
_cell_length_c 4.7011
_cell_angle_alpha 90.00
_cell_angle_beta 90.00
_cell_angle_gamma 90.00
_space_group_name_H-M_alt 'P 4/m m m'
_space_group_IT_number 123
_space_group_name_Hall '-P 4 2'
loop_
_atom_site_label
_atom_site_type_symbol
_atom_site_fract_x
_atom_site_fract_y
_atom_site_fract_z
Ca1 Ca 0.0000 0.0000 0.0000
La1 La 0.0000 0.5000 0.5000
Pb1 Pb 0.5000 0.5000 0.5000
F1 F 0.5000 0.5000 0.0000

=====

[2]
# GGA-PBE CdCoTe2, optimized geometry
# E_tot in eV per formula unit: -14.47
# Formation energy (no corrections) in eV per atom: -0.0421
# Size of the total moment in μB per formula unit: 0.0
data_CdCoTe2
_cell_length_a 5.1519
_cell_length_b 3.8097
_cell_length_c 5.7904
_cell_angle_alpha 90.00
_cell_angle_beta 114.11
_cell_angle_gamma 90.00
_space_group_name_H-M_alt 'P 1 2/m 1'
_space_group_IT_number 10
loop_
_space_group_symop_operation_xyz
'x,y,z'
'-x,-y,-z'
'-x,y,-z'
'x,-y,z'
loop_
_atom_site_label
_atom_site_type_symbol
_atom_site_fract_x
_atom_site_fract_y
_atom_site_fract_z
Cd1 Cd 0.0000 0.0000 0.0000
Co1 Co 0.5000 0.0000 0.0000
Te1 Te 0.3462 0.5000 0.6928

=====

[3]
# GGA-PBE PrSm2IrN4, optimized geometry
# E_tot in eV per formula unit: -62.96
# Formation energy (no corrections) in eV per atom: -0.8224
# Size of the total moment in μB per formula unit: 0.0
data_PrSm2IrN4
_cell_length_a 3.4851
_cell_length_b 12.0107
_cell_length_c 11.8730
_cell_angle_alpha 90.00
_cell_angle_beta 90.00
_cell_angle_gamma 90.00
_space_group_name_H-M_alt 'C m c m'
_space_group_IT_number 63
_space_group_name_Hall '-C 2c 2'
loop_
_atom_site_label
_atom_site_type_symbol
_atom_site_fract_x
_atom_site_fract_y
_atom_site_fract_z
Pr1 Pr 0.0000 0.1137 0.2500
Sm1 Sm 0.0000 0.3692 0.0441
Ir1 Ir 0.0000 0.1478 0.7500
N1 N 0.0000 0.0000 0.0000
N2 N 0.0000 0.2724 0.6316
N3 N 0.0000 0.4460 0.2500

=====

[4]
# GGA-PBE Tb2Nd4Tl3O2, optimized geometry
# E_tot in eV per formula unit: -58.39
# Formation energy (no corrections) in eV per atom: -1.1853
# Size of the total moment in μB per formula unit: 0.0
data_Tb2Nd4Tl3O2
_cell_length_a 4.8466
_cell_length_b 4.8466
_cell_length_c 25.3417
_cell_angle_alpha 90.00
_cell_angle_beta 90.00
_cell_angle_gamma 90.00
_space_group_name_H-M_alt 'I 4/m m m'
_space_group_IT_number 139
_space_group_name_Hall '-I 4 2'
loop_
_atom_site_label
_atom_site_type_symbol
_atom_site_fract_x
_atom_site_fract_y
_atom_site_fract_z
Tb1 Tb 0.0000 0.0000 0.1975
Nd1 Nd 0.0000 0.5000 0.0867
Tl1 Tl 0.0000 0.0000 0.3218
Tl2 Tl 0.0000 0.0000 0.5000
O1 O 0.0000 0.0000 0.1071

=====

[5]
# GGA-PBE ErHfCuTc, optimized geometry
# E_tot in eV per formula unit: -29.84
# Size of the total moment in μB per formula unit: 0.0
data_ErHfCuTc
_cell_length_a 6.6539
_cell_length_b 6.6539
_cell_length_c 6.6539
_cell_angle_alpha 90.00
_cell_angle_beta 90.00
_cell_angle_gamma 90.00
_space_group_name_H-M_alt 'F -4 3 m'
_space_group_IT_number 216
_space_group_name_Hall 'F -4 2 3'
loop_
_atom_site_label
_atom_site_type_symbol
_atom_site_fract_x
_atom_site_fract_y
_atom_site_fract_z
Er1 Er 0.0000 0.0000 0.0000
Hf1 Hf 0.0000 0.0000 0.5000
Cu1 Cu 0.2500 0.2500 0.7500
Tc1 Tc 0.2500 0.2500 0.2500

=====

[6]
# GGA-PBE LaCe3, optimized geometry
# E_tot in eV per formula unit: -22.46
# Size of the total moment in μB per formula unit: 0.0
data_LaCe3
_cell_length_a 4.8188
_cell_length_b 4.8188
_cell_length_c 4.8188
_cell_angle_alpha 90.00
_cell_angle_beta 90.00
_cell_angle_gamma 90.00
_space_group_name_H-M_alt 'P m -3 m'
_space_group_IT_number 221
_space_group_name_Hall '-P 4 2 3'
loop_
_atom_site_label
_atom_site_type_symbol
_atom_site_fract_x
_atom_site_fract_y
_atom_site_fract_z
La1 La 0.0000 0.0000 0.0000
Ce1 Ce 0.0000 0.5000 0.5000

=====

[7]
# GGA-PBE Ho5Mg2Ni2, optimized geometry
# E_tot in eV per formula unit: -39.28
# Size of the total moment in μB per formula unit: 0.0
data_Ho5Mg2Ni2
_cell_length_a 17.1117
_cell_length_b 7.3819
_cell_length_c 7.2055
_cell_angle_alpha 90.00
_cell_angle_beta 90.00
_cell_angle_gamma 90.00
_space_group_name_H-M_alt 'C m c e'
_space_group_IT_number 64
_space_group_name_Hall '-C 2ac 2'
loop_
_atom_site_label
_atom_site_type_symbol
_atom_site_fract_x
_atom_site_fract_y
_atom_site_fract_z
Ho1 Ho 0.0000 0.0000 0.0000
Ho2 Ho 0.1110 0.1819 0.3240
Mg1 Mg 0.2283 0.0000 0.0000
Ni1 Ni 0.0000 0.1229 0.6197

=====

[8]
# GGA-PBE Hf2Zr3Bi2, optimized geometry
# E_tot in eV per formula unit: -54.03
# Size of the total moment in μB per formula unit: 0.0
data_Hf2Zr3Bi2
_cell_length_a 3.2555
_cell_length_b 7.3426
_cell_length_c 8.0125
_cell_angle_alpha 64.14
_cell_angle_beta 79.35
_cell_angle_gamma 80.70
_space_group_name_H-M_alt 'P -1'
_space_group_IT_number 2
loop_
_space_group_symop_operation_xyz
'x,y,z'
'-x,-y,-z'
loop_
_atom_site_label
_atom_site_type_symbol
_atom_site_fract_x
_atom_site_fract_y
_atom_site_fract_z
Hf1 Hf 0.1792 0.0688 0.1696
Zr1 Zr 0.4089 0.7790 0.5784
Zr2 Zr 0.5000 0.5000 0.0000
Bi1 Bi 0.1383 0.3401 0.7455

=====

[9]
# GGA-PBE Tb4GaRh, optimized geometry
# E_tot in eV per formula unit: -31.91
# Size of the total moment in μB per formula unit: 0.0
data_Tb4GaRh
_cell_length_a 8.8948
_cell_length_b 13.3896
_cell_length_c 6.0940
_cell_angle_alpha 90.00
_cell_angle_beta 119.37
_cell_angle_gamma 90.00
_space_group_name_H-M_alt 'C 1 2/c 1'
_space_group_IT_number 15
loop_
_space_group_symop_operation_xyz
'x,y,z'
'-x,-y,-z'
'-x,y,-z+1/2'
'x,-y,z+1/2'
'x+1/2,y+1/2,z'
'-x+1/2,-y+1/2,-z'
'-x+1/2,y+1/2,-z+1/2'
'x+1/2,-y+1/2,z+1/2'
loop_
_atom_site_label
_atom_site_type_symbol
_atom_site_fract_x
_atom_site_fract_y
_atom_site_fract_z
Tb1 Tb 0.1224 0.1818 0.0907
Tb2 Tb 0.2090 0.4341 0.3056
Ga1 Ga 0.0000 0.3696 0.7500
Rh1 Rh 0.0000 0.0001 0.2500

=====

[10]
# GGA-PBE SnGePt, optimized geometry
# E_tot in eV per formula unit: -15.76
# Size of the total moment in μB per formula unit: 0.0
data_SnGePt
_cell_length_a 6.3320
_cell_length_b 6.3320
_cell_length_c 6.3320
_cell_angle_alpha 90.00
_cell_angle_beta 90.00
_cell_angle_gamma 90.00
_space_group_name_H-M_alt 'F -4 3 m'
_space_group_IT_number 216
_space_group_name_Hall 'F -4 2 3'
loop_
_atom_site_label
_atom_site_type_symbol
_atom_site_fract_x
_atom_site_fract_y
_atom_site_fract_z
Sn1 Sn 0.0000 0.0000 0.0000
Ge1 Ge 0.0000 0.0000 0.5000
Pt1 Pt 0.2500 0.2500 0.7500

=====

[11]
# GGA-PBE Na2ScHg2, optimized geometry
# E_tot in eV per formula unit: -9.64
# Size of the total moment in μB per formula unit: 0.3
data_Na2ScHg2
_cell_length_a 8.4986
_cell_length_b 8.4986
_cell_length_c 3.2739
_cell_angle_alpha 90.00
_cell_angle_beta 90.00
_cell_angle_gamma 90.00
_space_group_name_H-M_alt 'P 4/m b m'
_space_group_IT_number 127
_space_group_name_Hall '-P 4 2ab'
loop_
_atom_site_label
_atom_site_type_symbol
_atom_site_fract_x
_atom_site_fract_y
_atom_site_fract_z
Na1 Na 0.1170 0.3830 0.0000
Sc1 Sc 0.0000 0.0000 0.0000
Hg1 Hg 0.1857 0.6857 0.5000

=====

[12]
# GGA-PBE YbEuO3, optimized geometry
# E_tot in eV per formula unit: -38.42
# Formation energy (no corrections) in eV per atom: -2.3492
# Size of the total moment in μB per formula unit: 5.5
data_YbEuO3
_cell_length_a 4.2582
_cell_length_b 4.2582
_cell_length_c 4.2582
_cell_angle_alpha 90.00
_cell_angle_beta 90.00
_cell_angle_gamma 90.00
_space_group_name_H-M_alt 'P m -3 m'
_space_group_IT_number 221
_space_group_name_Hall '-P 4 2 3'
loop_
_atom_site_label
_atom_site_type_symbol
_atom_site_fract_x
_atom_site_fract_y
_atom_site_fract_z
Yb1 Yb 0.0000 0.0000 0.0000
Eu1 Eu 0.5000 0.5000 0.5000
O1 O 0.0000 0.0000 0.5000

=====

[13]
# GGA-PBE SrCuTe2, optimized geometry
# E_tot in eV per formula unit: -13.81
# Formation energy (no corrections) in eV per atom: -0.4368
# Size of the total moment in μB per formula unit: 0.0
data_SrCuTe2
_cell_length_a 5.1322
_cell_length_b 5.1322
_cell_length_c 4.1536
_cell_angle_alpha 90.00
_cell_angle_beta 90.00
_cell_angle_gamma 90.00
_space_group_name_H-M_alt 'P 4/m m m'
_space_group_IT_number 123
_space_group_name_Hall '-P 4 2'
loop_
_atom_site_label
_atom_site_type_symbol
_atom_site_fract_x
_atom_site_fract_y
_atom_site_fract_z
Sr1 Sr 0.0000 0.0000 0.0000
Cu1 Cu 0.5000 0.5000 0.0000
Te1 Te 0.0000 0.5000 0.5000

=====

[14]
# GGA-PBE AlZnCu2, optimized geometry
# E_tot in eV per formula unit: -13.26
# Size of the total moment in μB per formula unit: 0.0
data_AlZnCu2
_cell_length_a 2.7601
_cell_length_b 2.7601
_cell_length_c 24.9268
_cell_angle_alpha 90.00
_cell_angle_beta 90.00
_cell_angle_gamma 120.00
_space_group_name_H-M_alt 'R 3 m'
_space_group_IT_number 160
_space_group_name_Hall 'R 3 -2"'
loop_
_atom_site_label
_atom_site_type_symbol
_atom_site_fract_x
_atom_site_fract_y
_atom_site_fract_z
Al1 Al 0.0000 0.0000 0.0000
Zn1 Zn 0.0000 0.0000 0.7562
Cu1 Cu 0.0000 0.0000 0.2522
Cu2 Cu 0.0000 0.0000 0.5053

=====

[15]
# GGA-PBE Nb2SiSb2, optimized geometry
# E_tot in eV per formula unit: -30.78
# Formation energy (no corrections) in eV per atom: 0.6055
# Size of the total moment in μB per formula unit: 0.0
data_Nb2SiSb2
_cell_length_a 2.8784
_cell_length_b 2.8784
_cell_length_c 14.2382
_cell_angle_alpha 90.00
_cell_angle_beta 90.00
_cell_angle_gamma 90.00
_space_group_name_H-M_alt 'P 4/m m m'
_space_group_IT_number 123
_space_group_name_Hall '-P 4 2'
loop_
_atom_site_label
_atom_site_type_symbol
_atom_site_fract_x
_atom_site_fract_y
_atom_site_fract_z
Nb1 Nb 0.0000 0.0000 0.1761
Si1 Si 0.0000 0.0000 0.0000
Sb1 Sb 0.0000 0.0000 0.3793

=====

[16]
# GGA-PBE BeInTe2, optimized geometry
# E_tot in eV per formula unit: -13.02
# Formation energy (no corrections) in eV per atom: -0.0676
# Size of the total moment in μB per formula unit: 0.0
data_BeInTe2
_cell_length_a 7.0395
_cell_length_b 4.0343
_cell_length_c 7.3774
_cell_angle_alpha 90.00
_cell_angle_beta 108.94
_cell_angle_gamma 90.00
_space_group_name_H-M_alt 'C 1 2/m 1'
_space_group_IT_number 12
loop_
_space_group_symop_operation_xyz
'x,y,z'
'-x,-y,-z'
'-x,y,-z'
'x,-y,z'
'x+1/2,y+1/2,z'
'-x+1/2,-y+1/2,-z'
'-x+1/2,y+1/2,-z'
'x+1/2,-y+1/2,z'
loop_
_atom_site_label
_atom_site_type_symbol
_atom_site_fract_x
_atom_site_fract_y
_atom_site_fract_z
Be1 Be 0.0000 0.0000 0.0000
In1 In 0.0000 0.5000 0.5000
Te1 Te 0.2314 0.5000 0.2026

=====

[17]
# GGA-PBE Ac15Tb4Y, optimized geometry
# E_tot in eV per formula unit: -86.00
# Size of the total moment in μB per formula unit: 0.0
data_Ac15Tb4Y
_cell_length_a 5.5055
_cell_length_b 5.5055
_cell_length_c 27.3736
_cell_angle_alpha 90.00
_cell_angle_beta 90.00
_cell_angle_gamma 90.00
_space_group_name_H-M_alt 'P 4/m m m'
_space_group_IT_number 123
_space_group_name_Hall '-P 4 2'
loop_
_atom_site_label
_atom_site_type_symbol
_atom_site_fract_x
_atom_site_fract_y
_atom_site_fract_z
Ac1 Ac 0.0000 0.0000 0.0000
Ac2 Ac 0.0000 0.0000 0.2003
Ac3 Ac 0.0000 0.0000 0.4000
Ac4 Ac 0.0000 0.5000 0.1002
Ac5 Ac 0.0000 0.5000 0.3001
Ac6 Ac 0.0000 0.5000 0.5000
Tb1 Tb 0.5000 0.5000 0.2001
Tb2 Tb 0.5000 0.5000 0.4001
Y1 Y 0.5000 0.5000 0.0000